[1]
A relaxed SiSb2Os crystal. Source: Alexandria via LeMat-Bulk, functional GGA-PBEsol.

Calculated values
Its volume is 21.72 A^3/atom. As for the crystal system: monoclinic. The value obtained for the raw formation energy is 36 meV/atom. For the density, the calculation gives 8.83 g/cm3. For the density of states at the Fermi level, the calculation gives 0.219 states/eV per atom.

abc: 7.088 4.095 6.432
angles: 90.00 111.46 90.00
Space group Cm (No. 8)
Inequivalent atoms, fractional coordinates:
Si 0.000 0.000 0.000
Sb 0.074 0.500 0.717
Sb 0.261 0.500 0.284
Os 0.334 0.000 0.002

***

[2]
A relaxed CoBi2Rh crystal. Source: Alexandria via LeMat-Bulk, functional GGA-PBEsol.

Calculated values
Its volume is 24.74 A^3/atom. As for the crystal system: tetragonal. For the density, the calculation gives 9.73 g/cm3. For the density of states at the Fermi level, the calculation gives 0.809 states/eV per atom. The calculation puts the energy of formation from the pure elements at 224 kJ/mol of formula units.

abc: 6.242 6.242 10.158
angles: 90.00 90.00 90.00
Space group I-42d (No. 122)
Inequivalent atoms, fractional coordinates:
Co 0.000 0.000 0.000
Bi 0.233 0.750 0.125
Rh 0.000 0.000 0.500

***

[3]
A relaxed Be2GaTcI crystal. Source: Alexandria via LeMat-Bulk, functional GGA-PBEsol.

Calculated values
Its volume is 19.00 A^3/atom. As for the crystal system: tetragonal. The value obtained for the raw formation energy is 968 meV/atom. For the density, the calculation gives 5.47 g/cm3. For the density of states at the Fermi level, the calculation gives 0.993 states/eV per atom.

abc: 4.442 4.442 4.815
angles: 90.00 90.00 90.00
Space group P4/mmm (No. 123)
Inequivalent atoms, fractional coordinates:
Be 0.000 0.500 0.000
Ga 0.000 0.000 0.500
Tc 0.000 0.000 0.000
I 0.500 0.500 0.500

***

[4]
A relaxed Li5Co3Sb2O10 crystal. Source: Alexandria via LeMat-Bulk, functional GGA-PBEsol.

Calculated values
Its volume is 9.47 A^3/atom. As for the crystal system: triclinic. The value obtained for the raw formation energy is -1447 meV/atom. For the density, the calculation gives 5.39 g/cm3. For the density of states at the Fermi level, the calculation gives 0.286 states/eV per atom.

abc: 5.109 5.170 7.970
angles: 106.76 102.88 100.58
Space group P-1 (No. 2)
Inequivalent atoms, fractional coordinates:
Li 0.000 0.000 0.000
Li 0.493 0.165 0.895
Li 0.493 0.625 0.688
Co 0.007 0.175 0.409
Co 0.500 0.000 0.500
Sb 0.006 0.417 0.799
O 0.227 0.406 0.045
O 0.238 0.586 0.435
O 0.238 0.791 0.840
O 0.241 0.967 0.254
O 0.247 0.225 0.668

***

[5]
A relaxed TaRu2Rh crystal. Source: Alexandria via LeMat-Bulk, functional GGA-PBEsol.

Calculated values
Its volume is 14.29 A^3/atom. As for the crystal system: tetragonal. For the density, the calculation gives 14.12 g/cm3. Its relative energy among the computed polymorphs is 67 meV per atom. For the density of states at the Fermi level, the calculation gives 0.929 states/eV per atom. The calculation puts the energy of formation from the pure elements at -100 kJ/mol of formula units.

abc: 3.856 3.856 7.688
angles: 90.00 90.00 90.00
Space group I-4m2 (No. 119)
Inequivalent atoms, fractional coordinates:
Ta 0.000 0.000 0.000
Ru 0.000 0.000 0.500
Ru 0.000 0.500 0.750
Rh 0.000 0.500 0.250

***

[6]
A relaxed CsSc3Ir crystal. Source: Alexandria via LeMat-Bulk, functional GGA-PBEsol.

Calculated values
Its volume is 27.95 A^3/atom. As for the crystal system: cubic. For the density, the calculation gives 5.47 g/cm3. For the density of states at the Fermi level, the calculation gives 0.963 states/eV per atom. The calculation puts the energy of formation from the pure elements at -5 kJ/mol of formula units.

abc: 5.189 5.189 5.189
angles: 90.00 90.00 90.00
Space group Pm-3m (No. 221)
Inequivalent atoms, fractional coordinates:
Cs 0.000 0.000 0.000
Sc 0.000 0.500 0.500
Ir 0.500 0.500 0.500

***

[7]
A relaxed LiHgAu2 crystal. Source: Alexandria via LeMat-Bulk, functional GGA-PBEsol.

Calculated values
Its volume is 16.90 A^3/atom. As for the crystal system: tetragonal. For the density, the calculation gives 14.77 g/cm3. For the density of states at the Fermi level, the calculation gives 0.304 states/eV per atom. The calculation puts the energy of formation from the pure elements at -118 kJ/mol of formula units.

abc: 4.055 4.055 8.226
angles: 90.00 90.00 90.00
Space group I4/mmm (No. 139)
Inequivalent atoms, fractional coordinates:
Li 0.000 0.000 0.000
Hg 0.000 0.000 0.500
Au 0.000 0.500 0.250

***

[8]
A relaxed CoRe2PtS crystal. Source: Alexandria via LeMat-Bulk, functional GGA-PBEsol.

Calculated values
Its volume is 15.61 A^3/atom. As for the crystal system: tetragonal. The value obtained for the raw formation energy is 1517 meV/atom. For the density, the calculation gives 14.01 g/cm3. For the density of states at the Fermi level, the calculation gives 1.753 states/eV per atom.

abc: 4.515 4.515 3.829
angles: 90.00 90.00 90.00
Space group P4/mmm (No. 123)
Inequivalent atoms, fractional coordinates:
Co 0.000 0.000 0.000
Re 0.000 0.500 0.000
Pt 0.500 0.500 0.500
S 0.000 0.000 0.500